a) NdHfSc2: optimized geometry, PBE-GGA.

Properties
* symmetry: P4/mmm (123)

a = 4.6198 Å, b = 4.7220 Å, c = 4.7220 Å
α = 90.00°, β = 90.00°, γ = 90.00°
Sites, in units of the cell vectors:
Sc: 0.0000 0.0000 0.5000
Sc: 0.0000 0.5000 0.0000
Nd: 0.5000 0.5000 0.5000
Hf: 0.5000 0.0000 0.0000

***

b) NdHfSc2: optimized geometry, PBE-GGA.

Properties
* symmetry: Fm-3m (225)

a = 5.2566 Å, b = 5.2566 Å, c = 5.2566 Å
α = 60.00°, β = 60.00°, γ = 60.00°
Sites, in units of the cell vectors:
Sc: 0.2500 0.2500 0.2500
Sc: 0.7500 0.7500 0.7500
Nd: 0.0000 0.0000 0.0000
Hf: 0.5000 0.5000 0.5000

***

c) NdHfSc2: optimized geometry, PBE-GGA.

Properties
* symmetry: P4/mmm (123)

a = 3.7976 Å, b = 3.7976 Å, c = 7.3082 Å
α = 90.00°, β = 90.00°, γ = 90.00°
Sites, in units of the cell vectors:
Sc: 0.0000 0.0000 0.7865
Sc: 0.0000 0.0000 0.2135
Nd: 0.5000 0.5000 0.5000
Hf: 0.5000 0.5000 0.0000

***

d) NdHfSc2: optimized geometry, PBE-GGA.

Properties
* symmetry: R3m (160)

a = 3.3277 Å, b = 3.3277 Å, c = 11.0074 Å
α = 81.31°, β = 81.31°, γ = 60.00°
Sites, in units of the cell vectors:
Nd: 0.5009 0.5009 0.4972
Hf: 0.6662 0.6662 0.0015
Sc: 0.0761 0.0761 0.7716
Sc: 0.2568 0.2568 0.2297

***

Which structure loses on stability? b) does.

***

a) NdSm2Hf: optimized geometry, PBE-GGA.

Properties
* symmetry: P4/mmm (123)

a = 4.0436 Å, b = 4.0436 Å, c = 7.4799 Å
α = 90.00°, β = 90.00°, γ = 90.00°
Sites, in units of the cell vectors:
Nd: 0.5000 0.5000 0.5000
Hf: 0.5000 0.5000 0.0000
Sm: 0.0000 0.0000 0.7836
Sm: 0.0000 0.0000 0.2164

***

b) NdSm2Hf: optimized geometry, PBE-GGA.

Properties
* symmetry: R-3m (166)

a = 3.3934 Å, b = 3.3934 Å, c = 12.4125 Å
α = 82.14°, β = 82.14°, γ = 60.00°
Sites, in units of the cell vectors:
Nd: 0.5000 0.5000 0.5000
Hf: 0.0000 0.0000 0.0000
Sm: 0.0844 0.0844 0.7467
Sm: 0.9156 0.9156 0.2533

***

c) NdSm2Hf: optimized geometry, PBE-GGA.

Properties
* symmetry: P4/mmm (123)

a = 4.9604 Å, b = 4.9358 Å, c = 4.9358 Å
α = 90.00°, β = 90.00°, γ = 90.00°
Sites, in units of the cell vectors:
Nd: 0.5000 0.5000 0.5000
Hf: 0.5000 0.0000 0.0000
Sm: 0.0000 0.0000 0.5000
Sm: 0.0000 0.5000 0.0000

***

Which structure loses on stability? b) does.

***

a) NdHfSn: optimized geometry, PBE-GGA.

Properties
* symmetry: I4/mmm (139)

a = 4.4021 Å, b = 4.4020 Å, c = 9.0312 Å
α = 104.11°, β = 104.11°, γ = 90.00°
Each line ends with the local moment (μB).
Sites, in units of the cell vectors:
Nd: 0.6753 0.6753 0.3505  0.21
Nd: 0.3247 0.3247 0.6495  0.21
Hf: 0.5000 0.0000 0.0000  0.24
Hf: 0.0000 0.5000 0.0000  0.24
Sn: 0.1252 0.1252 0.2505  -0.01
Sn: 0.8748 0.8748 0.7495  -0.01

***

b) NdHfSn: optimized geometry, PBE-GGA.

Properties
* symmetry: P4/nmm (129)

a = 4.4342 Å, b = 4.4342 Å, c = 8.3987 Å
α = 90.00°, β = 90.00°, γ = 90.00°
Sites, in units of the cell vectors:
Nd: 0.0000 0.5000 0.8415
Nd: 0.5000 0.0000 0.1585
Sn: 0.0000 0.5000 0.2466
Sn: 0.5000 0.0000 0.7534
Hf: 0.5000 0.5000 0.5000
Hf: 0.0000 0.0000 0.5000

***

Which structure loses on stability? a) does.

***

a) NdHf2Ta: optimized geometry, PBE-GGA.

Properties
* symmetry: P4/mmm (123)

a = 3.5112 Å, b = 3.5112 Å, c = 7.8007 Å
α = 90.00°, β = 90.00°, γ = 90.00°
Sites, in units of the cell vectors:
Nd: 0.5000 0.5000 0.5000
Hf: 0.0000 0.0000 0.8002
Hf: 0.0000 0.0000 0.1998
Ta: 0.5000 0.5000 0.0000

***

b) NdHf2Ta: optimized geometry, PBE-GGA.

Properties
* symmetry: R-3m (166)

a = 3.1653 Å, b = 3.1653 Å, c = 11.2852 Å
α = 81.94°, β = 81.94°, γ = 60.00°
Sites, in units of the cell vectors:
Nd: 0.0000 0.0000 0.0000
Hf: 0.0961 0.0961 0.7116
Hf: 0.9039 0.9039 0.2884
Ta: 0.5000 0.5000 0.5000

***

Which structure loses on stability? b) does.

***

a) NdHfTh2: optimized geometry, PBE-GGA.

Properties
* symmetry: R-3m (166)

a = 3.4025 Å, b = 3.4025 Å, c = 12.3023 Å
α = 82.05°, β = 82.05°, γ = 60.00°
Sites, in units of the cell vectors:
Nd: 0.0000 0.0000 0.0000
Hf: 0.5000 0.5000 0.5000
Th: 0.0913 0.0913 0.7261
Th: 0.9087 0.9087 0.2739

***

b) NdHfTh2: optimized geometry, PBE-GGA.

Properties
* symmetry: P4/mmm (123)

a = 4.9217 Å, b = 4.9469 Å, c = 4.9469 Å
α = 90.00°, β = 90.00°, γ = 90.00°
Sites, in units of the cell vectors:
Nd: 0.5000 0.5000 0.5000
Hf: 0.5000 0.0000 0.0000
Th: 0.0000 0.0000 0.5000
Th: 0.0000 0.5000 0.0000

***

Which structure loses on stability? a) does.

***

a) NdHfTh2: optimized geometry, PBE-GGA.

Properties
* symmetry: P4/mmm (123)

a = 3.4805 Å, b = 3.4805 Å, c = 9.9880 Å
α = 90.00°, β = 90.00°, γ = 90.00°
Sites, in units of the cell vectors:
Nd: 0.5000 0.5000 0.5000
Hf: 0.5000 0.5000 0.0000
Th: 0.0000 0.0000 0.7702
Th: 0.0000 0.0000 0.2298

***

b) NdHfTh2: optimized geometry, PBE-GGA.

Properties
* symmetry: R3m (160)

a = 3.4865 Å, b = 3.4865 Å, c = 11.5693 Å
α = 81.33°, β = 81.33°, γ = 60.00°
Sites, in units of the cell vectors:
Nd: 0.4986 0.4986 0.5042
Hf: 0.6677 0.6677 0.9969
Th: 0.0786 0.0786 0.7642
Th: 0.2551 0.2551 0.2346

***

Which structure loses on stability? b) does.

***

a) NdHf2Ti: optimized geometry, PBE-GGA.

Properties
* symmetry: R-3m (166)

a = 3.1542 Å, b = 3.1542 Å, c = 11.2605 Å
α = 81.95°, β = 81.95°, γ = 60.00°
Sites, in units of the cell vectors:
Nd: 0.0000 0.0000 0.0000
Hf: 0.0967 0.0967 0.7100
Hf: 0.9033 0.9033 0.2900
Ti: 0.5000 0.5000 0.5000

***

b) NdHf2Ti: optimized geometry, PBE-GGA.

Properties
* symmetry: P4/mmm (123)

a = 3.5999 Å, b = 3.5999 Å, c = 7.3685 Å
α = 90.00°, β = 90.00°, γ = 90.00°
Sites, in units of the cell vectors:
Nd: 0.5000 0.5000 0.5000
Hf: 0.0000 0.0000 0.8022
Hf: 0.0000 0.0000 0.1978
Ti: 0.5000 0.5000 0.0000

***

Which structure loses on stability? a) does.

***

a) NdTm2Hf: optimized geometry, PBE-GGA.

Properties
* symmetry: R3m (160)

a = 3.4329 Å, b = 3.4329 Å, c = 11.4156 Å
α = 81.35°, β = 81.35°, γ = 60.00°
Sites, in units of the cell vectors:
Nd: 0.5004 0.5004 0.4989
Tm: 0.0765 0.0765 0.7705
Tm: 0.2568 0.2568 0.2297
Hf: 0.6664 0.6664 0.0009

***

b) NdTm2Hf: optimized geometry, PBE-GGA.

Properties
* symmetry: Fm-3m (225)

a = 5.4610 Å, b = 5.4610 Å, c = 5.4610 Å
α = 60.00°, β = 60.00°, γ = 60.00°
Each line ends with the local moment (μB).
Sites, in units of the cell vectors:
Nd: 0.0000 0.0000 0.0000  0.01
Tm: 0.2500 0.2500 0.2500  0.14
Tm: 0.7500 0.7500 0.7500  0.14
Hf: 0.5000 0.5000 0.5000  0.32

***

Which structure loses on stability? b) does.

***

a) Nd2TmHf: optimized geometry, PBE-GGA.

Properties
* symmetry: P4/mmm (123)

a = 4.0448 Å, b = 4.0448 Å, c = 7.3054 Å
α = 90.00°, β = 90.00°, γ = 90.00°
Sites, in units of the cell vectors:
Nd: 0.0000 0.0000 0.7736
Nd: 0.0000 0.0000 0.2264
Tm: 0.5000 0.5000 0.5000
Hf: 0.5000 0.5000 0.0000

***

b) Nd2TmHf: optimized geometry, PBE-GGA.

Properties
* symmetry: R-3m (166)

a = 3.3738 Å, b = 3.3738 Å, c = 12.3326 Å
α = 82.14°, β = 82.14°, γ = 60.00°
Sites, in units of the cell vectors:
Nd: 0.0857 0.0857 0.7430
Nd: 0.9143 0.9143 0.2570
Tm: 0.5000 0.5000 0.5000
Hf: 0.0000 0.0000 0.0000

***

c) Nd2TmHf: optimized geometry, PBE-GGA.

Properties
* symmetry: P4/mmm (123)

a = 4.8359 Å, b = 4.9542 Å, c = 4.9542 Å
α = 90.00°, β = 90.00°, γ = 90.00°
Sites, in units of the cell vectors:
Nd: 0.0000 0.0000 0.5000
Nd: 0.0000 0.5000 0.0000
Tm: 0.5000 0.5000 0.5000
Hf: 0.5000 0.0000 0.0000

***

Which structure loses on stability? b) does.

***

a) Nd2HfZn: optimized geometry, PBE-GGA.

Properties
* symmetry: R-3m (166)

a = 3.2939 Å, b = 3.2939 Å, c = 11.6868 Å
α = 81.90°, β = 81.90°, γ = 60.00°
Sites, in units of the cell vectors:
Nd: 0.0938 0.0938 0.7186
Nd: 0.9062 0.9062 0.2814
Zn: 0.5000 0.5000 0.5000
Hf: 0.0000 0.0000 0.0000

***

b) Nd2HfZn: optimized geometry, PBE-GGA.

Properties
* symmetry: P4/mmm (123)

a = 3.4640 Å, b = 3.4640 Å, c = 8.8312 Å
α = 90.00°, β = 90.00°, γ = 90.00°
Sites, in units of the cell vectors:
Nd: 0.0000 0.0000 0.7674
Nd: 0.0000 0.0000 0.2326
Zn: 0.5000 0.5000 0.0000
Hf: 0.5000 0.5000 0.5000

***

Which structure loses on stability? a) does.

***

a) NdHfZr2: optimized geometry, PBE-GGA.

Properties
* symmetry: R3m (160)

a = 3.2793 Å, b = 3.2793 Å, c = 11.0253 Å
α = 81.45°, β = 81.45°, γ = 60.00°
Sites, in units of the cell vectors:
Nd: 0.4996 0.4996 0.5012
Hf: 0.6669 0.6669 0.9993
Zr: 0.0768 0.0768 0.7697
Zr: 0.2568 0.2568 0.2297

***

b) NdHfZr2: optimized geometry, PBE-GGA.

Properties
* symmetry: P4/mmm (123)

a = 3.7992 Å, b = 3.7992 Å, c = 7.1259 Å
α = 90.00°, β = 90.00°, γ = 90.00°
Sites, in units of the cell vectors:
Nd: 0.5000 0.5000 0.5000
Hf: 0.5000 0.5000 0.0000
Zr: 0.0000 0.0000 0.7933
Zr: 0.0000 0.0000 0.2067

***

Which structure loses on stability? b) does.

***

a) Hf4Ni: optimized geometry, PBE-GGA.

Properties
* symmetry: Fdd2 (43)

a = 7.0395 Å, b = 7.0395 Å, c = 6.1043 Å
α = 101.78°, β = 101.78°, γ = 130.24°
Sites, in units of the cell vectors:
Hf: 0.5939 0.4699 0.6775
Hf: 0.7924 0.9164 0.3225
Hf: 0.7738 0.0028 0.8498
Hf: 0.1530 0.9240 0.1502
Hf: 0.2528 0.5238 0.3498
Hf: 0.1740 0.9030 0.6502
Hf: 0.1664 0.5424 0.8225
Hf: 0.7199 0.3439 0.1775
Ni: 0.3389 0.3389 0.0000
Ni: 0.5889 0.0889 0.5000

***

b) Hf4Ni: optimized geometry, PBE-GGA.

Properties
* symmetry: I4/m (87)

a = 3.2271 Å, b = 5.7616 Å, c = 5.7616 Å
α = 85.50°, β = 73.74°, γ = 73.74°
Sites, in units of the cell vectors:
Hf: 0.5822 0.1943 0.6413
Hf: 0.7765 0.6413 0.8057
Hf: 0.4178 0.8057 0.3587
Hf: 0.2235 0.3587 0.1943
Ni: 0.0000 0.0000 0.0000

***

c) Hf4Ni: optimized geometry, PBE-GGA.

Properties
* symmetry: Pm-3m (221)

a = 4.8139 Å, b = 4.8139 Å, c = 4.8139 Å
α = 90.00°, β = 90.00°, γ = 90.00°
Sites, in units of the cell vectors:
Ni: 0.5000 0.5000 0.5000
Hf: 0.0000 0.0000 0.0000
Hf: 0.5000 0.0000 0.5000
Hf: 0.0000 0.5000 0.5000
Hf: 0.5000 0.5000 0.0000

***

Which structure loses on stability? c) does.